Arrangement P

# Er2TmAg2

A geometry-optimized Er2TmAg2 structure (PBE, the Alexandria database).

```
Er2TmAg2
1.0
3.557 0.000 -0.477
0.000 5.182 0.000
-0.013 0.000 13.419
Er Tm Ag
4 2 4
Direct
0.047 0.750 0.095
0.953 0.250 0.905
0.235 0.750 0.468
0.765 0.250 0.532
0.854 0.750 0.708
0.146 0.250 0.292
0.642 0.750 0.284
0.358 0.250 0.716
0.452 0.750 0.903
0.548 0.250 0.097
```

---

Arrangement Q

# Er2TmAg2

A geometry-optimized Er2TmAg2 structure (PBE, the Alexandria database).

```
Er2TmAg2
1.0
-1.198 -4.038 2.638
4.398 -3.313 -3.073
5.959 1.609 5.169
Er Tm Ag
4 2 4
Direct
0.250 0.904 0.858
0.750 0.096 0.142
0.250 0.160 0.445
0.750 0.840 0.555
0.250 0.685 0.254
0.750 0.315 0.746
0.250 0.570 0.615
0.750 0.430 0.385
0.250 0.366 0.980
0.750 0.634 0.020
```

---

So which one wins? Going from most stable to least: arrangement P, arrangement Q.

---

Arrangement P

# YErAg4

A geometry-optimized YErAg4 structure (PBE, the Alexandria database).

```
YErAg4
1.0
-3.552 -0.118 -1.676
1.079 -3.160 -2.063
-3.120 -5.643 7.011
Y Er Ag
1 1 4
Direct
0.501 0.497 0.998
0.001 0.997 0.498
0.501 0.997 0.252
0.501 0.997 0.745
0.001 0.497 0.745
0.001 0.497 0.251
```

---

Arrangement Q

# YErAg4

A geometry-optimized YErAg4 structure (PBE, the Alexandria database).

```
YErAg4
1.0
0.787 -1.914 -3.075
2.673 -1.989 4.156
-7.016 -2.089 1.745
Y Er Ag
1 1 4
Direct
0.498 0.997 0.502
0.998 0.497 0.002
0.166 0.996 0.840
0.829 0.998 0.164
0.660 0.491 0.333
0.335 0.504 0.671
```

---

Arrangement R

# YErAg4

A geometry-optimized YErAg4 structure (PBE, the Alexandria database).

```
YErAg4
1.0
-4.856 -2.559 1.524
-1.522 -4.913 -2.450
0.151 -4.843 2.995
Y Ag Er
1 4 1
Direct
0.250 0.250 0.250
0.625 0.625 0.125
0.625 0.125 0.625
0.625 0.625 0.625
0.125 0.625 0.625
0.000 0.000 0.000
```

---

So which one wins? Going from most stable to least: arrangement Q, arrangement R, arrangement P.